# 1
The following is a DFT calculation (SCAN) of a crystal of Mn2AsAuS relaxed with PBEsol.

Lattice parameters (Å, degrees): 4.2266 4.2266 4.8553 90.00 90.00 90.00
Positions (direct):
Mn1 0.0000 0.5000 0.0000
Mn2 0.5000 0.0000 0.0000
As1 0.0000 0.0000 0.5000
Au1 0.5000 0.5000 0.5000
S1 0.0000 0.0000 0.0000

Symmetry   P4/mmm, No. 123
Raw formation energy   196 meV/atom

# 2
The following is a DFT calculation (SCAN) of a crystal of LaIn3 relaxed with PBEsol.

Lattice parameters (Å, degrees): 3.8365 3.8365 7.2232 90.00 90.00 90.00
Positions (direct):
La1 0.0000 0.0000 0.0000
In1 0.0000 0.0000 0.5000
In2 0.5000 0.5000 0.2830
In3 0.5000 0.5000 0.7170

Symmetry   P4/mmm, No. 123
Energy of formation from the pure elements   -398.3 meV per atom

# 3
The following is a DFT calculation (SCAN) of a crystal of BeCd2Pb relaxed with PBEsol.

Lattice parameters (Å, degrees): 3.1244 3.1244 8.2609 90.00 90.00 90.00
Positions (direct):
Be1 0.0000 0.0000 0.0000
Cd1 0.5000 0.5000 0.1871
Cd2 0.5000 0.5000 0.8129
Pb1 0.0000 0.0000 0.5000

Symmetry   P4/mmm, No. 123
Energy of formation from the pure elements   277.0 meV per atom

# 4
The following is a DFT calculation (SCAN) of a crystal of Li2CrAuI relaxed with PBEsol.

Lattice parameters (Å, degrees): 5.3065 5.3065 4.8650 90.00 90.00 90.00
Positions (direct):
Li1 0.0000 0.5000 0.0000
Li2 0.5000 0.0000 0.0000
Cr1 0.0000 0.0000 0.0000
Au1 0.5000 0.5000 0.5000
I1 0.0000 0.0000 0.5000

Symmetry   P4/mmm, No. 123
Raw formation energy   466 meV/atom

# 5
The following is a DFT calculation (SCAN) of a crystal of MnHgS2 relaxed with PBEsol.

Lattice parameters (Å, degrees): 8.9760 8.9760 8.9760 20.41 20.41 20.41
Positions (direct):
Mn1 0.0000 0.0000 0.0000
Hg1 0.5000 0.5000 0.5000
S1 0.3848 0.3848 0.3848
S2 0.6152 0.6152 0.6152

Polymorph energy (0 for the lowest one)   0.15 eV per formula unit
Symmetry   R-3m, No. 166
Raw formation energy   -581 meV/atom

# 6
The following is a DFT calculation (SCAN) of a crystal of LiSnI2 relaxed with PBEsol.

Lattice parameters (Å, degrees): 6.9007 6.9007 6.9007 109.28 109.28 109.86
Positions (direct):
Li1 0.0000 0.0000 0.0000
Li2 0.7500 0.2500 0.5000
Sn1 0.2500 0.7500 0.5000
Sn2 0.5000 0.5000 0.0000
I1 0.0813 0.6250 0.9563
I2 0.3750 0.3313 0.4563
I3 0.6687 0.1250 0.0437
I4 0.8750 0.9187 0.5437

Symmetry   I-42d, No. 122
Raw formation energy   -442 meV/atom

# 7
The following is a DFT calculation (SCAN) of a crystal of K2CaAl relaxed with PBEsol.

Lattice parameters (Å, degrees): 10.2954 10.2954 10.2954 158.99 151.27 35.87
Positions (direct):
K1 0.1572 0.1572 0.0000
K2 0.8428 0.8428 0.0000
Ca1 0.5000 0.0000 0.5000
Al1 0.0000 0.5000 0.5000

Symmetry   Immm, No. 71
Energy of formation from the pure elements   155.2 meV per atom

# 8
The following is a DFT calculation (SCAN) of a crystal of ZrZnHg relaxed with PBEsol.

Lattice parameters (Å, degrees): 6.2104 6.2104 6.2104 151.26 151.26 41.09
Positions (direct):
Zr1 0.0000 0.0000 0.0000
Zn1 0.3416 0.3416 0.0000
Hg1 0.6867 0.6867 0.0000

Polymorph energy (0 for the lowest one)   0.28 eV per formula unit
Symmetry   I4mm, No. 107
Energy of formation from the pure elements   -248.7 meV per atom

Number 1: calculated volume 17.3 A^3/atom, density of states at the Fermi level 0.33 states/eV per atom. Number 2: calculated volume 26.6 A^3/atom, density of states at the Fermi level 0.47 states/eV per atom. Number 3: calculated volume 20.2 A^3/atom, density of states at the Fermi level 0.34 states/eV per atom. Number 4: calculated volume 27.4 A^3/atom, density of states at the Fermi level 0.38 states/eV per atom. Number 5: calculated volume 19.2 A^3/atom, density of states at the Fermi level 0.33 states/eV per atom. Number 6: calculated volume 31.6 A^3/atom, density of states at the Fermi level 0.17 states/eV per atom. Number 7: calculated volume 47.0 A^3/atom, density of states at the Fermi level 0.97 states/eV per atom. Number 8: calculated volume 18.4 A^3/atom, density of states at the Fermi level 0.60 states/eV per atom.